(1)
A crystal of AlIr2Se relaxed with PBEsol. Source: Alexandria via LeMat-Bulk, functional SCAN.

Volume (A^3/atom): 15.4
Uncorrected formation energy (eV/atom): 0.01
Electronic total energy (eV per atom): -42.50
Space group: No. 10
Density of states at the Fermi level (states/eV per atom): 0.479

abc: 2.8356 4.2344 5.2472
angles: 90.00 102.65 90.00
Positions (direct):
Al 0.0000 0.0000 0.0000
Ir 0.3750 0.5000 0.2296
Ir 0.6250 0.5000 0.7704
Se 0.5000 0.0000 0.5000

=====

(2)
A crystal of YRuRhPb2 relaxed with PBEsol. Source: Alexandria via LeMat-Bulk, functional SCAN.

Volume (A^3/atom): 25.8
Formation enthalpy at 0 K (kcal/mol of atoms): 8.98
Electronic total energy (eV per atom): -49.21
Space group: No. 123
Density of states at the Fermi level (states/eV per atom): 1.023

abc: 5.0585 5.0585 5.0488
angles: 90.00 90.00 90.00
Positions (direct):
Y 0.0000 0.0000 0.0000
Ru 0.0000 0.0000 0.5000
Rh 0.5000 0.5000 0.0000
Pb 0.0000 0.5000 0.5000
Pb 0.5000 0.0000 0.5000